# 1
Compound: NdDy3Ho4
Source: the Alexandria database
Functional: PBE
Structure: relaxed

```
NdDy3Ho4
1.0
-3.009 -4.371 -3.347
6.371 -2.657 -2.257
0.240 -6.956 8.867
Nd Dy Ho
2 6 8
direct
0.147 0.374 0.000
0.647 0.626 0.500
0.647 0.627 0.000
0.981 0.627 0.250
0.481 0.373 0.250
0.147 0.373 0.500
0.481 0.373 0.750
0.981 0.627 0.750
0.148 0.877 0.000
0.649 0.124 0.000
0.981 0.123 0.252
0.481 0.877 0.248
0.149 0.876 0.500
0.648 0.123 0.500
0.481 0.877 0.752
0.981 0.123 0.748
```

Values from the calculation:
Space-group type: No. 31
Magnetic moment (μB/f.u.): 0.00
Energy relative to the lowest polymorph listed for this composition (meV/atom): 0
E (eV per atom): -4.600

=====

# 2
Compound: Nd12DyHo6
Source: the Alexandria database
Functional: PBE
Structure: relaxed

```
Nd12DyHo6
1.0
9.053 -0.612 -3.084
-4.122 8.084 -3.084
-0.404 -0.612 9.555
Nd Dy Ho
12 1 6
direct
0.371 0.056 0.580
0.056 0.580 0.371
0.580 0.371 0.056
0.629 0.944 0.420
0.944 0.420 0.629
0.420 0.629 0.944
0.104 0.157 0.737
0.263 0.896 0.843
0.843 0.263 0.896
0.896 0.843 0.263
0.737 0.104 0.157
0.157 0.737 0.104
0.000 0.000 0.000
0.214 0.317 0.472
0.683 0.528 0.786
0.528 0.786 0.683
0.786 0.683 0.528
0.317 0.472 0.214
0.472 0.214 0.317
```

Values from the calculation:
Space-group type: No. 148
Magnetic moment (μB/f.u.): 0.00
Energy relative to the lowest polymorph listed for this composition (meV/atom): 0
E (eV per atom): -4.683

=====

DFT formation energy
In order: 0.08 0.30
Unit: eV/f.u.